# 1
# GdPu2C PBE relaxed
# DFT formation energy, eV per atom: 0.112
# VASP energy, Ry/atom: -0.9467
# D(E_F), states/eV/cell: 47.26
# E above lowest polymorph, meV/atom: 0.0
data_GdPu2C
_cell_length_a 3.4690
_cell_length_b 3.4690
_cell_length_c 26.9472
_cell_angle_alpha 90.00
_cell_angle_beta 90.00
_cell_angle_gamma 120.00
_space_group_name_H-M_alt 'R -3 m'
_space_group_IT_number 166
_space_group_name_Hall '-R 3 2"'
loop_
_atom_site_label
_atom_site_type_symbol
_atom_site_fract_x
_atom_site_fract_y
_atom_site_fract_z
Gd1 Gd 0.0000 0.0000 0.0000
Pu1 Pu 0.0000 0.0000 0.2200
C1 C 0.0000 0.0000 0.5000



# 2
# Np2UTl3S6 PBE relaxed
# Raw formation energy, eV/atom: -1.0342
# VASP energy, Ry/atom: -0.4988
# D(E_F), states/eV/cell: 47.49
data_Np2UTl3S6
_cell_length_a 7.0189
_cell_length_b 12.1563
_cell_length_c 7.8817
_cell_angle_alpha 90.00
_cell_angle_beta 107.26
_cell_angle_gamma 90.00
_space_group_name_H-M_alt 'C 1 2/m 1'
_space_group_IT_number 12
loop_
_space_group_symop_operation_xyz
'x,y,z'
'-x,-y,-z'
'-x,y,-z'
'x,-y,z'
'x+1/2,y+1/2,z'
'-x+1/2,-y+1/2,-z'
'-x+1/2,y+1/2,-z'
'x+1/2,-y+1/2,z'
loop_
_atom_site_label
_atom_site_type_symbol
_atom_site_fract_x
_atom_site_fract_y
_atom_site_fract_z
Np1 Np 0.0000 0.1665 0.0000
U1 U 0.0000 0.5000 0.0000
Tl1 Tl 0.0000 0.0000 0.5000
Tl2 Tl 0.0000 0.3321 0.5000
S1 S 0.2290 0.3350 0.1923
S2 S 0.2346 0.0000 0.1933



# 3
# IrPt2Br PBE relaxed
# Raw formation energy, eV/atom: 0.5531
# VASP energy, Ry/atom: -0.3749
# D(E_F), states/eV/cell: 4.13
# E above lowest polymorph, meV/atom: 177.2
data_IrPt2Br
_cell_length_a 2.7743
_cell_length_b 4.9317
_cell_length_c 5.0083
_cell_angle_alpha 90.00
_cell_angle_beta 90.00
_cell_angle_gamma 90.00
_space_group_name_H-M_alt 'P m m 2'
_space_group_IT_number 25
loop_
_space_group_symop_operation_xyz
'x,y,z'
'-x,-y,z'
'-x,y,z'
'x,-y,z'
loop_
_atom_site_label
_atom_site_type_symbol
_atom_site_fract_x
_atom_site_fract_y
_atom_site_fract_z
Ir1 Ir 0.0000 0.0000 0.0000
Pt1 Pt 0.0000 0.5000 0.5175
Pt2 Pt 0.5000 0.0000 0.5046
Br1 Br 0.0000 0.5000 0.0194



# 4
# AlTlOs2 PBE relaxed
# DFT formation energy, eV per atom: 0.472
# VASP energy, Ry/atom: -0.4902
# D(E_F), states/eV/cell: 5.14
# E above lowest polymorph, meV/atom: 245.1
data_AlTlOs2
_cell_length_a 3.0899
_cell_length_b 3.0899
_cell_length_c 6.7346
_cell_angle_alpha 90.00
_cell_angle_beta 90.00
_cell_angle_gamma 90.00
_space_group_name_H-M_alt 'P 4/m m m'
_space_group_IT_number 123
_space_group_name_Hall '-P 4 2'
loop_
_atom_site_label
_atom_site_type_symbol
_atom_site_fract_x
_atom_site_fract_y
_atom_site_fract_z
Al1 Al 0.0000 0.0000 0.0000
Tl1 Tl 0.0000 0.0000 0.5000
Os1 Os 0.5000 0.5000 0.2100



What did the fourth record say?
# AlTlOs2 PBE relaxed
# DFT formation energy, eV per atom: 0.472
# VASP energy, Ry/atom: -0.4902
# D(E_F), states/eV/cell: 5.14
# E above lowest polymorph, meV/atom: 245.1
data_AlTlOs2
_cell_length_a 3.0899
_cell_length_b 3.0899
_cell_length_c 6.7346
_cell_angle_alpha 90.00
_cell_angle_beta 90.00
_cell_angle_gamma 90.00
_space_group_name_H-M_alt 'P 4/m m m'
_space_group_IT_number 123
_space_group_name_Hall '-P 4 2'
loop_
_atom_site_label
_atom_site_type_symbol
_atom_site_fract_x
_atom_site_fract_y
_atom_site_fract_z
Al1 Al 0.0000 0.0000 0.0000
Tl1 Tl 0.0000 0.0000 0.5000
Os1 Os 0.5000 0.5000 0.2100



Q: VASP energy of number 3 (IrPt2Br)?
A: -0.3749 Ry/atom